1.
# Ba2Cd2I

A relaxed structure of Ba2Cd2I (PBE-GGA, the Alexandria database).

Crystal system: tetragonal
Electronic total energy: -1.83 eV per atom
Raw formation energy: -0.390 eV per atom

Cell lengths 6.6562, 6.6562, 10.0292 Å; angles 90.00, 90.00, 90.00 degrees
With the nearest neighbours (Å) after each atom.
Space group I4/mmm (No. 139)
Symmetry-distinct sites (fractional):
Ba (0.0000, 0.5000, 0.2500) [4 per cell]  4 Cd 3.52
Cd (0.0000, 0.0000, 0.1369) [4 per cell]  1 Cd 2.75
I (0.0000, 0.0000, 0.5000) [2 per cell]  2 Cd 3.64

***

2.
# Ba2Cd2I

A relaxed structure of Ba2Cd2I (PBE-GGA, the Alexandria database).

Crystal system: tetragonal
Electronic total energy: -1.98 eV per atom
Raw formation energy: -0.535 eV per atom

Cell lengths 9.5046, 9.5046, 4.4960 Å; angles 90.00, 90.00, 90.00 degrees
With the nearest neighbours (Å) after each atom.
Space group P4/mbm (No. 127)
Symmetry-distinct sites (fractional):
Ba (0.1820, 0.3180, 0.0000) [4 per cell]  6 Cd 3.58-3.64
Cd (0.1103, 0.6103, 0.5000) [4 per cell]  1 Cd 2.97
I (0.0000, 0.0000, 0.5000) [2 per cell]  4 Cd 3.85, 8 Ba 4.14

***

3.
# Ba2Cd2I

A relaxed structure of Ba2Cd2I (PBE-GGA, the Alexandria database).

Crystal system: monoclinic
Electronic total energy: -2.22 eV per atom
Raw formation energy: -0.775 eV per atom

Cell lengths 8.6948, 5.0330, 9.7539 Å; angles 90.00, 107.26, 90.00 degrees
With the nearest neighbours (Å) after each atom.
Space group C2/m (No. 12)
Symmetry-distinct sites (fractional):
Ba (0.0794, 0.0000, 0.2386) [4 per cell]  6 Cd 3.64-3.67, 3 I 3.79
Cd (0.1673, 0.5000, 0.0014) [4 per cell]  3 Cd 2.90
I (0.0000, 0.5000, 0.5000) [2 per cell]  6 Ba 3.79

***

4.
# Ba2CdI

A relaxed structure of Ba2CdI (PBE-GGA, the Alexandria database).

Crystal system: tetragonal
Electronic total energy: -2.17 eV per atom
Raw formation energy: -0.597 eV per atom

Cell lengths 9.2064, 9.2064, 9.4247 Å; angles 90.00, 90.00, 90.00 degrees
With the nearest neighbours (Å) after each atom.
Space group I-42d (No. 122)
Symmetry-distinct sites (fractional):
Ba (0.2429, 0.2500, 0.1250) [8 per cell]  2 Cd 3.42, 2 I 3.51
Cd (0.0000, 0.0000, 0.0000) [4 per cell]  4 Ba 3.42
I (0.0000, 0.0000, 0.5000) [4 per cell]  4 Ba 3.51

***

5.
# Ba2CdI

A relaxed structure of Ba2CdI (PBE-GGA, the Alexandria database).

Crystal system: cubic
Electronic total energy: -2.20 eV per atom
Raw formation energy: -0.620 eV per atom

Cell lengths 8.7411, 8.7411, 8.7411 Å; angles 90.00, 90.00, 90.00 degrees
With the nearest neighbours (Å) after each atom.
Space group Fm-3m (No. 225)
Symmetry-distinct sites (fractional):
Ba (0.2500, 0.2500, 0.2500) [8 per cell]  4 I 3.78, 4 Cd 3.78
Cd (0.0000, 0.0000, 0.0000) [4 per cell]  8 Ba 3.78
I (0.0000, 0.0000, 0.5000) [4 per cell]  8 Ba 3.78

***

6.
# BaCd2I

A relaxed structure of BaCd2I (PBE-GGA, the Alexandria database).

Crystal system: cubic
Electronic total energy: -1.66 eV per atom
Raw formation energy: -0.330 eV per atom

Cell lengths 8.3794, 8.3794, 8.3794 Å; angles 90.00, 90.00, 90.00 degrees
With the nearest neighbours (Å) after each atom.
Space group Fm-3m (No. 225)
Symmetry-distinct sites (fractional):
Ba (0.0000, 0.0000, 0.0000) [4 per cell]  8 Cd 3.63
Cd (0.2500, 0.2500, 0.2500) [8 per cell]  4 Ba 3.63, 4 I 3.63
I (0.0000, 0.0000, 0.5000) [4 per cell]  8 Cd 3.63